Computed, not measured: a geometry-optimized Tb5Sm5Ho structure at the PBE-GGA level of DFT.

Cell lengths 6.114, 6.114, 11.626 Å; angles 90.00, 90.00, 120.00 degrees
Fractional coordinates of all 11 atoms:
Sm 0.667 0.333 0.155
Sm 0.000 0.000 0.000
Sm 0.333 0.667 0.317
Sm 0.667 0.333 0.845
Sm 0.333 0.667 0.683
Ho 0.333 0.667 0.000
Tb 0.000 0.000 0.735
Tb 0.832 0.664 0.500
Tb 0.832 0.168 0.500
Tb 0.000 0.000 0.265
Tb 0.336 0.168 0.500

Calculated values
Its space group is P-6m2, No. 187. Its formation energy is 307 meV per atom.